! PBE-GGA Na2USnS5, relaxed; values from VASP
&SYSTEM
  ibrav = 0, nat = 18, ntyp = 4
/
ATOMIC_SPECIES
S 32.06 S.upf
Na 22.99 Na.upf
Sn 118.71 Sn.upf
U 238.03 U.upf
CELL_PARAMETERS angstrom
4.0393 0.0000 0.0000
-2.0196 8.2689 0.0000
0.0000 0.0000 13.5700
ATOMIC_POSITIONS angstrom
S 2.0196 1.9371 6.7434
Na 2.0196 6.8039 2.2449
S 0.0000 4.4042 8.9795
S 0.0000 1.0725 0.6665
Na 2.0196 6.0854 10.9419
Sn 2.0196 0.6377 12.7098
Sn 0.0000 7.6312 5.9248
S 0.0000 6.3318 13.5284
S 2.0196 3.3287 12.2921
U 2.0196 4.4266 7.2467
Na 0.0000 1.4650 9.0299
S 2.0196 3.8647 2.1945
S 2.0196 7.1964 7.4515
S 0.0000 8.2079 10.4214
U 0.0000 3.8423 0.4617
Na 0.0000 2.1835 4.1569
S 0.0000 4.9402 5.5071
S 2.0196 0.0610 3.6364
! Total moment = 1.9 μB/f.u.
! D(E_F) = 0.68 states/eV/atom
! Formation energy from raw total energies = -93 kJ/mol of atoms

---

! PBE-GGA Mn2HgRu, relaxed; values from VASP
&SYSTEM
  ibrav = 0, nat = 4, ntyp = 3
/
ATOMIC_SPECIES
Hg 200.59 Hg.upf
Mn 54.94 Mn.upf
Ru 101.07 Ru.upf
CELL_PARAMETERS angstrom
5.2645 0.0254 0.0155
2.4448 4.6624 -0.0155
-3.3848 -3.1165 2.5584
ATOMIC_POSITIONS angstrom
Hg 2.8567 -0.3799 1.2870
Mn 0.0695 0.0423 0.0000
Mn 1.5313 1.9899 1.2715
Ru 3.7216 2.2630 0.0000
! Formation energy = 0.390 eV per atom
! Total moment = 7.1 μB/f.u.
! D(E_F) = 1.17 states/eV/atom

---

! PBE-GGA FeBr5, relaxed; values from VASP
&SYSTEM
  ibrav = 0, nat = 6, ntyp = 2
/
ATOMIC_SPECIES
Br 79.90 Br.upf
Fe 55.84 Fe.upf
CELL_PARAMETERS angstrom
1.8266 6.7340 -0.0045
-1.8266 6.7340 -0.0045
0.0000 3.7932 8.3092
ATOMIC_POSITIONS angstrom
Br 0.0000 9.1013 -0.0002
Br 0.0000 4.6118 0.0065
Br 0.0000 0.1242 0.0207
Br 0.0000 6.4813 4.1614
Fe 0.0000 11.5011 4.1356
Br 0.0000 3.0510 4.1204
! Total moment = 4.1 μB/f.u.
! D(E_F) = 0.95 states/eV/atom
! Formation energy from raw total energies = 0 kJ/mol of atoms

---

! PBE-GGA CsTl2CuBr8, relaxed; values from VASP
&SYSTEM
  ibrav = 0, nat = 12, ntyp = 4
/
ATOMIC_SPECIES
Cs 132.91 Cs.upf
Br 79.90 Br.upf
Tl 204.38 Tl.upf
Cu 63.55 Cu.upf
CELL_PARAMETERS angstrom
-1.5685 7.5713 1.9310
-5.9825 -5.0961 -1.3241
-0.0327 -2.4152 9.4433
ATOMIC_POSITIONS angstrom
Cs -0.0163 -1.2076 4.7216
Br -3.0568 2.0929 5.7567
Br -5.3569 -5.2285 6.9985
Br -2.2268 5.2885 3.0517
Br -4.5269 -2.0329 4.2935
Br -1.3540 1.0758 1.9773
Tl -3.0480 2.7445 3.2087
Br -2.0282 -2.3930 7.7352
Br -5.5555 2.4530 2.3150
Cu 0.0000 0.0000 0.0000
Tl -4.5357 -2.6846 6.8415
Br -6.2297 -1.0158 8.0729
! Total moment = 0.0 μB/f.u.
! D(E_F) = 0.42 states/eV/atom
! Formation energy from raw total energies = -62 kJ/mol of atoms